#A
! LiW PBE-GGA optimized geometry; values from VASP
! symmetry: No. 63
&SYSTEM
  ibrav = 0, nat = 4, ntyp = 2
/
ATOMIC_SPECIES
Li 6.94 Li.upf
W 183.84 W.upf
CELL_PARAMETERS angstrom
1.275 -5.734 0.000
1.275 5.734 0.000
0.000 0.000 4.313
ATOMIC_POSITIONS crystal
Li 0.054 0.946 0.750
Li 0.946 0.054 0.250
W 0.304 0.696 0.750
W 0.696 0.304 0.250

#B
! LiW PBE-GGA optimized geometry; values from VASP
! symmetry: No. 166
&SYSTEM
  ibrav = 0, nat = 4, ntyp = 2
/
ATOMIC_SPECIES
Li 6.94 Li.upf
W 183.84 W.upf
CELL_PARAMETERS angstrom
1.384 0.799 9.981
-1.384 0.799 9.981
0.000 -1.598 9.981
ATOMIC_POSITIONS crystal
Li 0.122 0.122 0.122
Li 0.878 0.878 0.878
W 0.374 0.374 0.374
W 0.626 0.626 0.626

#C
! LiW PBE-GGA optimized geometry; values from VASP
! symmetry: No. 166
&SYSTEM
  ibrav = 0, nat = 2, ntyp = 2
/
ATOMIC_SPECIES
Li 6.94 Li.upf
W 183.84 W.upf
CELL_PARAMETERS angstrom
1.353 0.781 5.014
-1.353 0.781 5.014
0.000 -1.562 5.014
ATOMIC_POSITIONS crystal
Li 0.000 0.000 0.000
W 0.500 0.500 0.500

#D
! LiW PBE-GGA optimized geometry; values from VASP
! symmetry: No. 124
&SYSTEM
  ibrav = 0, nat = 16, ntyp = 2
/
ATOMIC_SPECIES
Li 6.94 Li.upf
W 183.84 W.upf
CELL_PARAMETERS angstrom
7.563 0.000 0.000
0.000 7.563 0.000
0.000 0.000 4.876
ATOMIC_POSITIONS crystal
Li 0.067 0.253 0.000
Li 0.067 0.747 0.500
Li 0.253 0.067 0.500
Li 0.253 0.933 0.000
Li 0.747 0.067 0.000
Li 0.747 0.933 0.500
Li 0.933 0.253 0.500
Li 0.933 0.747 0.000
W 0.264 0.445 0.500
W 0.264 0.555 0.000
W 0.445 0.264 0.000
W 0.445 0.736 0.500
W 0.555 0.264 0.500
W 0.555 0.736 0.000
W 0.736 0.445 0.000
W 0.736 0.555 0.500

Which of them is most stable, and which least? Most stable: #B; least stable: #D.

#A
! LiW PBE-GGA optimized geometry; values from VASP
! symmetry: No. 87
&SYSTEM
  ibrav = 0, nat = 8, ntyp = 2
/
ATOMIC_SPECIES
Li 6.94 Li.upf
W 183.84 W.upf
CELL_PARAMETERS angstrom
-5.218 5.218 1.448
5.218 -5.218 1.448
5.218 5.218 -1.448
ATOMIC_POSITIONS crystal
Li 0.055 0.360 0.414
Li 0.360 0.945 0.305
Li 0.640 0.055 0.695
Li 0.945 0.640 0.586
W 0.168 0.793 0.961
W 0.207 0.168 0.375
W 0.793 0.832 0.625
W 0.832 0.207 0.039

#B
! LiW PBE-GGA optimized geometry; values from VASP
! symmetry: No. 194
&SYSTEM
  ibrav = 0, nat = 8, ntyp = 2
/
ATOMIC_SPECIES
Li 6.94 Li.upf
W 183.84 W.upf
CELL_PARAMETERS angstrom
3.306 0.000 0.000
-1.653 2.863 0.000
0.000 0.000 12.250
ATOMIC_POSITIONS crystal
Li 0.000 0.000 0.250
Li 0.000 0.000 0.750
Li 0.333 0.667 0.250
Li 0.667 0.333 0.750
W 0.333 0.667 0.569
W 0.333 0.667 0.931
W 0.667 0.333 0.069
W 0.667 0.333 0.431

#C
! LiW PBE-GGA optimized geometry; values from VASP
! symmetry: No. 129
&SYSTEM
  ibrav = 0, nat = 4, ntyp = 2
/
ATOMIC_SPECIES
Li 6.94 Li.upf
W 183.84 W.upf
CELL_PARAMETERS angstrom
3.250 0.000 0.000
0.000 3.250 0.000
0.000 0.000 6.278
ATOMIC_POSITIONS crystal
Li 0.250 0.250 0.121
Li 0.750 0.750 0.879
W 0.250 0.250 0.595
W 0.750 0.750 0.405

Which of them is most stable, and which least? Most stable: #C; least stable: #A.

#A
! LiW4 PBE-GGA optimized geometry; values from VASP
! symmetry: No. 139
&SYSTEM
  ibrav = 0, nat = 5, ntyp = 2
/
ATOMIC_SPECIES
Li 6.94 Li.upf
W 183.84 W.upf
CELL_PARAMETERS angstrom
-2.094 2.094 5.696
2.094 -2.094 5.696
2.094 2.094 -5.696
ATOMIC_POSITIONS crystal
Li 0.000 0.000 0.000
W 0.250 0.750 0.500
W 0.382 0.382 0.000
W 0.618 0.618 0.000
W 0.750 0.250 0.500

#B
! LiW4 PBE-GGA optimized geometry; values from VASP
! symmetry: No. 221
&SYSTEM
  ibrav = 0, nat = 5, ntyp = 2
/
ATOMIC_SPECIES
Li 6.94 Li.upf
W 183.84 W.upf
CELL_PARAMETERS angstrom
4.239 0.000 0.000
0.000 4.239 0.000
0.000 0.000 4.239
ATOMIC_POSITIONS crystal
Li 0.000 0.000 0.000
W 0.000 0.000 0.500
W 0.000 0.500 0.000
W 0.500 0.000 0.000
W 0.500 0.500 0.500

Which of them is most stable, and which least? Most stable: #A; least stable: #B.

#A
! Li5W PBE-GGA optimized geometry; values from VASP
! symmetry: No. 8
&SYSTEM
  ibrav = 0, nat = 6, ntyp = 2
/
ATOMIC_SPECIES
Li 6.94 Li.upf
W 183.84 W.upf
CELL_PARAMETERS angstrom
5.546 -1.270 0.000
5.546 1.270 0.000
-1.502 0.000 7.127
ATOMIC_POSITIONS crystal
Li 0.000 0.000 0.000
Li 0.059 0.059 0.618
Li 0.323 0.323 0.640
Li 0.662 0.662 0.314
Li 0.747 0.747 0.979
W 0.401 0.401 0.297

#B
! Li5W PBE-GGA optimized geometry; values from VASP
! symmetry: No. 191
&SYSTEM
  ibrav = 0, nat = 6, ntyp = 2
/
ATOMIC_SPECIES
Li 6.94 Li.upf
W 183.84 W.upf
CELL_PARAMETERS angstrom
4.992 0.000 0.000
-2.496 4.323 0.000
0.000 0.000 4.378
ATOMIC_POSITIONS crystal
Li 0.000 0.500 0.000
Li 0.333 0.667 0.500
Li 0.500 0.000 0.000
Li 0.500 0.500 0.000
Li 0.667 0.333 0.500
W 0.000 0.000 0.500

#C
! Li5W PBE-GGA optimized geometry; values from VASP
! symmetry: No. 65
&SYSTEM
  ibrav = 0, nat = 6, ntyp = 2
/
ATOMIC_SPECIES
Li 6.94 Li.upf
W 183.84 W.upf
CELL_PARAMETERS angstrom
2.488 -7.509 0.000
2.488 7.509 0.000
0.000 0.000 2.585
ATOMIC_POSITIONS crystal
Li 0.000 0.000 0.000
Li 0.149 0.851 0.500
Li 0.331 0.669 0.000
Li 0.669 0.331 0.000
Li 0.851 0.149 0.500
W 0.500 0.500 0.500

Which of them is most stable, and which least? Most stable: #A; least stable: #B.

#A
! LiYW2 PBE-GGA optimized geometry; values from VASP
! symmetry: No. 166
&SYSTEM
  ibrav = 0, nat = 4, ntyp = 3
/
ATOMIC_SPECIES
Li 6.94 Li.upf
Y 88.91 Y.upf
W 183.84 W.upf
CELL_PARAMETERS angstrom
1.425 0.823 10.530
-1.425 0.823 10.530
0.000 -1.645 10.530
ATOMIC_POSITIONS crystal
Li 0.000 0.000 0.000
Y 0.500 0.500 0.500
W 0.255 0.255 0.255
W 0.745 0.745 0.745

#B
! LiYW2 PBE-GGA optimized geometry; values from VASP
! symmetry: No. 99
&SYSTEM
  ibrav = 0, nat = 4, ntyp = 3
/
ATOMIC_SPECIES
Li 6.94 Li.upf
Y 88.91 Y.upf
W 183.84 W.upf
CELL_PARAMETERS angstrom
3.314 0.000 0.000
0.000 3.314 0.000
0.000 0.000 6.926
ATOMIC_POSITIONS crystal
Li 0.000 0.000 0.000
Y 0.500 0.500 0.696
W 0.000 0.000 0.403
W 0.500 0.500 0.221

#C
! LiYW2 PBE-GGA optimized geometry; values from VASP
! symmetry: No. 123
&SYSTEM
  ibrav = 0, nat = 4, ntyp = 3
/
ATOMIC_SPECIES
Li 6.94 Li.upf
Y 88.91 Y.upf
W 183.84 W.upf
CELL_PARAMETERS angstrom
3.350 0.000 0.000
0.000 3.350 0.000
0.000 0.000 6.565
ATOMIC_POSITIONS crystal
Li 0.000 0.000 0.000
Y 0.000 0.000 0.500
W 0.500 0.500 0.179
W 0.500 0.500 0.821

#D
! LiYW2 PBE-GGA optimized geometry; values from VASP
! symmetry: No. 216
&SYSTEM
  ibrav = 0, nat = 4, ntyp = 3
/
ATOMIC_SPECIES
Li 6.94 Li.upf
Y 88.91 Y.upf
W 183.84 W.upf
CELL_PARAMETERS angstrom
0.000 3.294 3.294
3.294 0.000 3.294
3.294 3.294 0.000
ATOMIC_POSITIONS crystal
Li 0.000 0.000 0.000
Y 0.250 0.250 0.250
W 0.500 0.500 0.500
W 0.750 0.750 0.750

Which of them is most stable, and which least? Most stable: #B; least stable: #A.

#A
! LiY3W PBE-GGA optimized geometry; values from VASP
! symmetry: No. 221
&SYSTEM
  ibrav = 0, nat = 5, ntyp = 3
/
ATOMIC_SPECIES
Li 6.94 Li.upf
Y 88.91 Y.upf
W 183.84 W.upf
CELL_PARAMETERS angstrom
5.060 0.000 0.000
0.000 5.060 0.000
0.000 0.000 5.060
ATOMIC_POSITIONS crystal
Li 0.000 0.000 0.000
Y 0.000 0.000 0.500
Y 0.000 0.500 0.000
Y 0.500 0.000 0.000
W 0.500 0.500 0.500

#B
! LiY3W PBE-GGA optimized geometry; values from VASP
! symmetry: No. 221
&SYSTEM
  ibrav = 0, nat = 5, ntyp = 3
/
ATOMIC_SPECIES
Li 6.94 Li.upf
Y 88.91 Y.upf
W 183.84 W.upf
CELL_PARAMETERS angstrom
5.496 0.000 0.000
0.000 5.496 0.000
0.000 0.000 5.496
ATOMIC_POSITIONS crystal
Li 0.000 0.000 0.000
Y 0.000 0.500 0.500
Y 0.500 0.000 0.500
Y 0.500 0.500 0.000
W 0.500 0.500 0.500

Which of them is most stable, and which least? Most stable: #B; least stable: #A.

#A
! LiZn2W PBE-GGA optimized geometry; values from VASP
! symmetry: No. 139
&SYSTEM
  ibrav = 0, nat = 4, ntyp = 3
/
ATOMIC_SPECIES
Li 6.94 Li.upf
Zn 65.41 Zn.upf
W 183.84 W.upf
CELL_PARAMETERS angstrom
-2.024 2.024 3.541
2.024 -2.024 3.541
2.024 2.024 -3.541
ATOMIC_POSITIONS crystal
Li 0.000 0.000 0.000
Zn 0.250 0.750 0.500
Zn 0.750 0.250 0.500
W 0.500 0.500 0.000

#B
! LiZn2W PBE-GGA optimized geometry; values from VASP
! symmetry: No. 123
&SYSTEM
  ibrav = 0, nat = 4, ntyp = 3
/
ATOMIC_SPECIES
Li 6.94 Li.upf
Zn 65.41 Zn.upf
W 183.84 W.upf
CELL_PARAMETERS angstrom
2.778 0.000 0.000
0.000 2.778 0.000
0.000 0.000 7.344
ATOMIC_POSITIONS crystal
Li 0.000 0.000 0.000
Zn 0.500 0.500 0.230
Zn 0.500 0.500 0.770
W 0.000 0.000 0.500

#C
! LiZn2W PBE-GGA optimized geometry; values from VASP
! symmetry: No. 216
&SYSTEM
  ibrav = 0, nat = 4, ntyp = 3
/
ATOMIC_SPECIES
Li 6.94 Li.upf
Zn 65.41 Zn.upf
W 183.84 W.upf
CELL_PARAMETERS angstrom
0.000 3.067 3.067
3.067 0.000 3.067
3.067 3.067 0.000
ATOMIC_POSITIONS crystal
Li 0.000 0.000 0.000
Zn 0.250 0.250 0.250
Zn 0.500 0.500 0.500
W 0.750 0.750 0.750

Which of them is most stable, and which least? Most stable: #B; least stable: #C.

#A
! LiZn2W PBE-GGA optimized geometry; values from VASP
! symmetry: No. 166
&SYSTEM
  ibrav = 0, nat = 4, ntyp = 3
/
ATOMIC_SPECIES
Li 6.94 Li.upf
Zn 65.41 Zn.upf
W 183.84 W.upf
CELL_PARAMETERS angstrom
1.385 0.800 9.241
-1.385 0.800 9.241
0.000 -1.600 9.241
ATOMIC_POSITIONS crystal
Li 0.000 0.000 0.000
Zn 0.251 0.251 0.251
Zn 0.749 0.749 0.749
W 0.500 0.500 0.500

#B
! LiZn2W PBE-GGA optimized geometry; values from VASP
! symmetry: No. 65
&SYSTEM
  ibrav = 0, nat = 4, ntyp = 3
/
ATOMIC_SPECIES
Li 6.94 Li.upf
Zn 65.41 Zn.upf
W 183.84 W.upf
CELL_PARAMETERS angstrom
2.936 -3.878 0.000
2.936 3.878 0.000
0.000 0.000 2.602
ATOMIC_POSITIONS crystal
Li 0.000 0.000 0.000
Zn 0.000 0.500 0.500
Zn 0.500 0.000 0.500
W 0.500 0.500 0.000

Which of them is most stable, and which least? Most stable: #B; least stable: #A.

#A
! LiZn2W PBE-GGA optimized geometry; values from VASP
! symmetry: No. 8
&SYSTEM
  ibrav = 0, nat = 4, ntyp = 3
/
ATOMIC_SPECIES
Li 6.94 Li.upf
Zn 65.41 Zn.upf
W 183.84 W.upf
CELL_PARAMETERS angstrom
5.029 -1.303 0.000
5.029 1.303 0.000
-1.587 0.000 4.583
ATOMIC_POSITIONS crystal
Li 0.000 0.000 0.000
Zn 0.250 0.250 0.892
Zn 0.523 0.523 0.495
W 0.776 0.776 0.405

#B
! LiZn2W PBE-GGA optimized geometry; values from VASP
! symmetry: No. 99
&SYSTEM
  ibrav = 0, nat = 4, ntyp = 3
/
ATOMIC_SPECIES
Li 6.94 Li.upf
Zn 65.41 Zn.upf
W 183.84 W.upf
CELL_PARAMETERS angstrom
2.654 0.000 0.000
0.000 2.654 0.000
0.000 0.000 8.587
ATOMIC_POSITIONS crystal
Li 0.000 0.000 0.000
Zn 0.000 0.000 0.510
Zn 0.500 0.500 0.759
W 0.500 0.500 0.267

#C
! LiZn2W PBE-GGA optimized geometry; values from VASP
! symmetry: No. 71
&SYSTEM
  ibrav = 0, nat = 4, ntyp = 3
/
ATOMIC_SPECIES
Li 6.94 Li.upf
Zn 65.41 Zn.upf
W 183.84 W.upf
CELL_PARAMETERS angstrom
-1.359 2.292 4.528
1.359 -2.292 4.528
1.359 2.292 -4.528
ATOMIC_POSITIONS crystal
Li 0.000 0.000 0.000
Zn 0.233 0.733 0.500
Zn 0.767 0.267 0.500
W 0.500 0.500 0.000

#D
! LiZn2W PBE-GGA optimized geometry; values from VASP
! symmetry: No. 35
&SYSTEM
  ibrav = 0, nat = 4, ntyp = 3
/
ATOMIC_SPECIES
Li 6.94 Li.upf
Zn 65.41 Zn.upf
W 183.84 W.upf
CELL_PARAMETERS angstrom
1.612 -2.099 0.000
1.612 2.099 0.000
0.000 0.000 8.931
ATOMIC_POSITIONS crystal
Li 0.000 0.000 0.000
Zn 0.000 0.000 0.510
Zn 0.500 0.500 0.759
W 0.500 0.500 0.262

Which of them is most stable, and which least? Most stable: #A; least stable: #C.